Entry 1:
The following is a DFT calculation (meta-GGA SCAN) of Y2MgCu at its PBEsol-relaxed geometry.

a b c (Å): 9.3552 9.3552 9.3552
angles (deg): 22.14 22.14 22.14
Last column: nearest neighbours and their distance in Å.
Atoms (fractional coordinates):
Y 0.2358 0.2358 0.2358  3 Cu 2.81
Y 0.7642 0.7642 0.7642  3 Cu 2.81
Mg 0.0000 0.0000 0.0000  6 Y 3.38, 6 Mg 3.59
Cu 0.5000 0.5000 0.5000  6 Y 2.81

Summary:
The density of states at the Fermi level is 1.26 states/eV/atom. The calculation puts the magnetization at 0.00 Bohr magnetons per cell. Its formation energy is 0.02 eV/atom.



Entry 2:
The following is a DFT calculation (meta-GGA SCAN) of Y4MgCu at its PBEsol-relaxed geometry.

a b c (Å): 9.7848 3.5758 8.9117
angles (deg): 90.00 90.00 90.00
Last column: nearest neighbours and their distance in Å.
Atoms (fractional coordinates):
Y 0.0000 0.0000 0.0000  2 Cu 2.89, 4 Y 3.23
Y 0.0596 0.5000 0.3220  2 Cu 2.91
Y 0.2500 0.5000 0.8743  2 Cu 3.20, 8 Y 3.23-3.58, 2 Mg 3.30
Y 0.4404 0.5000 0.3220  2 Cu 2.91
Y 0.5000 0.0000 0.0000  2 Cu 2.89, 4 Y 3.23
Y 0.5596 0.5000 0.6780  2 Cu 2.91
Y 0.7500 0.5000 0.1257  2 Cu 3.20, 8 Y 3.23-3.58, 2 Mg 3.30
Y 0.9404 0.5000 0.6780  2 Cu 2.91
Mg 0.2500 0.0000 0.5634  10 Y 3.30-3.66, 1 Cu 3.48, 2 Mg 3.58
Mg 0.7500 0.0000 0.4366  10 Y 3.30-3.66, 1 Cu 3.48, 2 Mg 3.58
Cu 0.2500 0.0000 0.1725  8 Y 2.89-3.20
Cu 0.7500 0.0000 0.8275  8 Y 2.89-3.20

Summary:
The density of states at the Fermi level is 0.91 states/eV/atom. The calculation puts the magnetization at 0.00 Bohr magnetons per cell. Its formation energy is -0.04 eV/atom.



Entry 3:
The following is a DFT calculation (meta-GGA SCAN) of Y3Mg4Cu2 at its PBEsol-relaxed geometry.

a b c (Å): 7.9306 7.9306 7.5002
angles (deg): 95.13 95.13 26.08
Last column: nearest neighbours and their distance in Å.
Atoms (fractional coordinates):
Y 0.0000 0.0000 0.0000  4 Cu 2.77
Y 0.1541 0.1541 0.3814  2 Cu 2.84
Y 0.8459 0.8459 0.6186  2 Cu 2.84
Mg 0.1963 0.1963 0.8465  3 Cu 2.63-2.78
Mg 0.4533 0.4533 0.3233  3 Mg 2.90-3.10, 2 Y 3.15, 1 Cu 3.24
Mg 0.5467 0.5467 0.6767  3 Mg 2.90-3.10, 2 Y 3.15, 1 Cu 3.24
Mg 0.8037 0.8037 0.1535  3 Cu 2.63-2.78
Cu 0.3661 0.3661 0.9130  3 Mg 2.63-2.78, 4 Y 2.77-2.84
Cu 0.6339 0.6339 0.0870  3 Mg 2.63-2.78, 4 Y 2.77-2.84

Summary:
The density of states at the Fermi level is 0.60 states/eV/atom. The calculation puts the magnetization at 0.02 Bohr magnetons per cell. Its formation energy is -0.12 eV/atom.



Entry 4:
The following is a DFT calculation (meta-GGA SCAN) of Y3Mg2Cu at its PBEsol-relaxed geometry.

a b c (Å): 5.6335 5.6335 5.6335
angles (deg): 72.06 72.06 72.06
Last column: nearest neighbours and their distance in Å.
Atoms (fractional coordinates):
Y 0.0000 0.5000 0.5000  2 Cu 2.82
Y 0.5000 0.0000 0.5000  2 Cu 2.82
Y 0.5000 0.5000 0.0000  2 Cu 2.82
Mg 0.1162 0.1162 0.1162  1 Mg 2.88
Mg 0.8838 0.8838 0.8838  1 Mg 2.88
Cu 0.5000 0.5000 0.5000  6 Y 2.82

Summary:
The density of states at the Fermi level is 0.98 states/eV/atom. The calculation puts the magnetization at 0.00 Bohr magnetons per cell. Its formation energy is 0.05 eV/atom.



Entry 5:
The following is a DFT calculation (meta-GGA SCAN) of Y2MgCu2 at its PBEsol-relaxed geometry.

a b c (Å): 7.3114 7.3114 3.5284
angles (deg): 90.00 90.00 146.20
Last column: nearest neighbours and their distance in Å.
Atoms (fractional coordinates):
Y 0.1384 0.8616 0.0000  6 Cu 2.86-2.90
Y 0.8616 0.1384 0.0000  6 Cu 2.86-2.90
Mg 0.5000 0.5000 0.5000  2 Cu 2.80
Cu 0.2996 0.7004 0.5000  2 Cu 2.54, 1 Mg 2.80
Cu 0.7004 0.2996 0.5000  2 Cu 2.54, 1 Mg 2.80

Summary:
The density of states at the Fermi level is 0.71 states/eV/atom. The calculation puts the magnetization at 0.00 Bohr magnetons per cell. Its formation energy is -0.29 eV/atom.



Entry 6:
The following is a DFT calculation (meta-GGA SCAN) of Y2MgCu2 at its PBEsol-relaxed geometry.

a b c (Å): 3.8773 3.8773 8.1474
angles (deg): 90.00 90.00 109.52
Last column: nearest neighbours and their distance in Å.
Atoms (fractional coordinates):
Y 0.0000 0.0000 0.2172  2 Cu 2.70
Y 0.0000 0.0000 0.7828  2 Cu 2.70
Mg 0.5000 0.5000 0.5000  4 Y 3.21
Cu 0.3214 0.6786 0.0000  3 Cu 2.26-2.41
Cu 0.6786 0.3214 0.0000  3 Cu 2.26-2.41

Summary:
The density of states at the Fermi level is 0.71 states/eV/atom. The calculation puts the magnetization at 0.15 Bohr magnetons per cell. Its formation energy is -0.09 eV/atom.